1.
Material: SrCu2Sn4
Method: DFT, GGA-PBE
State: optimized geometry

Cell: 4.498 7.382 20.212 Å, 90.00 90.00 90.00°
Positions (direct):
Sr 0.750 0.010 0.639
Sr 0.250 0.990 0.361
Sr 0.250 0.510 0.861
Sr 0.750 0.490 0.139
Sn 0.250 0.292 0.699
Sn 0.750 0.708 0.301
Sn 0.750 0.792 0.801
Sn 0.250 0.208 0.199
Sn 0.250 0.700 0.683
Sn 0.750 0.300 0.317
Sn 0.750 0.200 0.817
Sn 0.250 0.800 0.183
Sn 0.250 0.145 0.525
Sn 0.750 0.855 0.475
Sn 0.750 0.645 0.975
Sn 0.250 0.355 0.025
Sn 0.250 0.495 0.432
Sn 0.750 0.505 0.568
Sn 0.750 0.995 0.068
Sn 0.250 0.005 0.932
Cu 0.250 0.746 0.543
Cu 0.750 0.254 0.457
Cu 0.750 0.246 0.957
Cu 0.250 0.754 0.043
Cu 0.250 0.992 0.786
Cu 0.750 0.008 0.214
Cu 0.750 0.492 0.714
Cu 0.250 0.508 0.286

**SG**: No. 62
**D(E_F)**: 9.420 states/eV/cell
**E_form**: -0.19 eV per atom

2.
Material: Sr3CuSn3
Method: DFT, GGA-PBE
State: optimized geometry

Cell: 4.889 6.397 15.169 Å, 85.61 80.73 67.53°
Positions (direct):
Sr 0.540 0.308 0.613
Sr 0.460 0.692 0.387
Sr 0.251 0.264 0.234
Sr 0.749 0.736 0.766
Sr 0.404 0.273 0.918
Sr 0.596 0.727 0.082
Cu 0.752 0.098 0.398
Cu 0.248 0.902 0.602
Sn 0.859 0.742 0.540
Sn 0.141 0.258 0.460
Sn 0.115 0.847 0.923
Sn 0.885 0.153 0.077
Sn 0.952 0.854 0.241
Sn 0.048 0.146 0.759

**SG**: No. 12
**D(E_F)**: 4.954 states/eV/cell
**E_form**: -0.56 eV per atom

3.
Material: Sr2CuSn
Method: DFT, GGA-PBE
State: optimized geometry

Cell: 4.114 4.114 10.721 Å, 78.94 78.94 60.00°
Positions (direct):
Sr 0.106 0.106 0.681
Sr 0.894 0.894 0.319
Sn 0.000 0.000 0.000
Cu 0.500 0.500 0.500

**SG**: No. 166
**D(E_F)**: 3.961 states/eV/cell
**E_form**: 0.18 eV per atom

4.
Material: SrCu3Sn2
Method: DFT, GGA-PBE
State: optimized geometry

Cell: 4.431 8.684 7.693 Å, 114.19 90.00 104.78°
Positions (direct):
Sr 0.846 0.693 0.907
Sr 0.154 0.307 0.093
Cu 0.301 0.603 0.532
Cu 0.008 0.016 0.664
Cu 0.584 0.169 0.627
Cu 0.416 0.831 0.373
Cu 0.992 0.984 0.336
Cu 0.699 0.397 0.468
Sn 0.470 0.940 0.785
Sn 0.530 0.060 0.215
Sn 0.826 0.652 0.354
Sn 0.174 0.348 0.646

**SG**: No. 12
**D(E_F)**: 3.980 states/eV/cell
**E_form**: -0.23 eV per atom

5.
Material: SrCu4Sn4
Method: DFT, GGA-PBE
State: optimized geometry

Cell: 5.374 8.809 8.809 Å, 90.00 90.00 90.00°
Positions (direct):
Sr 0.000 0.000 0.000
Sr 0.500 0.500 0.500
Cu 0.607 0.828 0.333
Cu 0.607 0.172 0.667
Cu 0.107 0.833 0.672
Cu 0.893 0.328 0.833
Cu 0.893 0.672 0.167
Cu 0.393 0.333 0.172
Cu 0.393 0.667 0.828
Cu 0.107 0.167 0.328
Sn 0.394 0.358 0.872
Sn 0.894 0.628 0.858
Sn 0.394 0.642 0.128
Sn 0.106 0.142 0.628
Sn 0.606 0.872 0.642
Sn 0.106 0.858 0.372
Sn 0.894 0.372 0.142
Sn 0.606 0.128 0.358

**SG**: No. 86
**D(E_F)**: 8.358 states/eV/cell
**E_form**: -0.08 eV per atom

6.
Material: Sr2CuSn
Method: DFT, GGA-PBE
State: optimized geometry

Cell: 3.805 3.805 8.305 Å, 90.00 90.00 90.00°
Positions (direct):
Sr 0.000 0.000 0.768
Sr 0.000 0.000 0.232
Sn 0.500 0.500 0.500
Cu 0.500 0.500 0.000

**SG**: No. 123
**D(E_F)**: 1.572 states/eV/cell
**E_form**: -0.30 eV per atom

Calculated values (Å³/atom) of V for the records, taken in order: 24.0 30.9 38.3 21.6 23.2 30.1.